! ZnMoSe2Br PBE optimized geometry; values from VASP
! VASP energy in eV per atom: -3.99
! Fermi-level density of states in states/eV/f.u.: 4.8
! Symmetry: P4/mmm
&SYSTEM
  ibrav = 0, nat = 5, ntyp = 4
/
ATOMIC_SPECIES
Zn 65.41 Zn.upf
Mo 95.94 Mo.upf
Se 78.96 Se.upf
Br 79.90 Br.upf
ATOMIC_POSITIONS crystal
Zn 0.000 0.000 0.000
Mo 0.500 0.500 0.500
Se 0.000 0.500 0.500
Se 0.500 0.000 0.500
Br 0.500 0.500 0.000
CELL_PARAMETERS angstrom
4.906 0.000 0.000
0.000 4.906 0.000
0.000 0.000 5.361

---

! ZnMoSeBr2 PBE optimized geometry; values from VASP
! VASP energy in eV per atom: -3.69
! Fermi-level density of states in states/eV/f.u.: 2.3
! Symmetry: P4/mmm
&SYSTEM
  ibrav = 0, nat = 5, ntyp = 4
/
ATOMIC_SPECIES
Zn 65.41 Zn.upf
Mo 95.94 Mo.upf
Se 78.96 Se.upf
Br 79.90 Br.upf
ATOMIC_POSITIONS crystal
Zn 0.000 0.000 0.000
Mo 0.500 0.500 0.500
Se 0.500 0.500 0.000
Br 0.000 0.500 0.500
Br 0.500 0.000 0.500
CELL_PARAMETERS angstrom
5.312 0.000 0.000
0.000 5.312 0.000
0.000 0.000 4.871

---

! ZrMoSe2Br PBE optimized geometry; values from VASP
! VASP energy in eV per atom: -5.44
! Fermi-level density of states in states/eV/f.u.: 2.5
! Symmetry: P4/mmm
&SYSTEM
  ibrav = 0, nat = 5, ntyp = 4
/
ATOMIC_SPECIES
Zr 91.22 Zr.upf
Mo 95.94 Mo.upf
Se 78.96 Se.upf
Br 79.90 Br.upf
ATOMIC_POSITIONS crystal
Zr 0.000 0.000 0.000
Mo 0.500 0.500 0.500
Se 0.000 0.500 0.000
Se 0.500 0.000 0.000
Br 0.000 0.000 0.500
CELL_PARAMETERS angstrom
5.237 0.000 0.000
0.000 5.237 0.000
0.000 0.000 5.270

---

! ZrMoSeBr2 PBE optimized geometry; values from VASP
! VASP energy in eV per atom: -5.07
! Fermi-level density of states in states/eV/f.u.: 2.3
! Symmetry: P4/mmm
&SYSTEM
  ibrav = 0, nat = 5, ntyp = 4
/
ATOMIC_SPECIES
Zr 91.22 Zr.upf
Mo 95.94 Mo.upf
Se 78.96 Se.upf
Br 79.90 Br.upf
ATOMIC_POSITIONS crystal
Zr 0.000 0.000 0.000
Mo 0.500 0.500 0.500
Se 0.000 0.000 0.500
Br 0.000 0.500 0.000
Br 0.500 0.000 0.000
CELL_PARAMETERS angstrom
5.329 0.000 0.000
0.000 5.329 0.000
0.000 0.000 5.238

---

! ZrMoSe2Br PBE optimized geometry; values from VASP
! VASP energy in eV per atom: -5.23
! Fermi-level density of states in states/eV/f.u.: 6.9
! Symmetry: P4/mmm
&SYSTEM
  ibrav = 0, nat = 5, ntyp = 4
/
ATOMIC_SPECIES
Zr 91.22 Zr.upf
Mo 95.94 Mo.upf
Se 78.96 Se.upf
Br 79.90 Br.upf
ATOMIC_POSITIONS crystal
Zr 0.000 0.000 0.000
Mo 0.500 0.500 0.500
Se 0.000 0.500 0.500
Se 0.500 0.000 0.500
Br 0.500 0.500 0.000
CELL_PARAMETERS angstrom
4.956 0.000 0.000
0.000 4.956 0.000
0.000 0.000 4.958

---

! ZrMoSeBr2 PBE optimized geometry; values from VASP
! VASP energy in eV per atom: -4.78
! Fermi-level density of states in states/eV/f.u.: 6.3
! Symmetry: P4/mmm
&SYSTEM
  ibrav = 0, nat = 5, ntyp = 4
/
ATOMIC_SPECIES
Zr 91.22 Zr.upf
Mo 95.94 Mo.upf
Se 78.96 Se.upf
Br 79.90 Br.upf
ATOMIC_POSITIONS crystal
Zr 0.000 0.000 0.000
Mo 0.500 0.500 0.500
Se 0.500 0.500 0.000
Br 0.000 0.500 0.500
Br 0.500 0.000 0.500
CELL_PARAMETERS angstrom
5.074 0.000 0.000
0.000 5.074 0.000
0.000 0.000 5.055

---

! Si2MoBr PBE optimized geometry; values from VASP
! VASP energy in eV per atom: -5.58
! Fermi-level density of states in states/eV/f.u.: 4.0
! Symmetry: R-3m
&SYSTEM
  ibrav = 0, nat = 4, ntyp = 3
/
ATOMIC_SPECIES
Si 28.09 Si.upf
Mo 95.94 Mo.upf
Br 79.90 Br.upf
ATOMIC_POSITIONS crystal
Si 0.238 0.238 0.238
Si 0.762 0.762 0.762
Mo 0.500 0.500 0.500
Br 0.000 0.000 0.000
CELL_PARAMETERS angstrom
1.632 0.942 7.717
-1.632 0.942 7.717
0.000 -1.884 7.717

---

! Si2Mo2Br PBE optimized geometry; values from VASP
! VASP energy in eV per atom: -6.38
! Fermi-level density of states in states/eV/f.u.: 4.7
! Symmetry: I4/mmm
&SYSTEM
  ibrav = 0, nat = 5, ntyp = 3
/
ATOMIC_SPECIES
Si 28.09 Si.upf
Mo 95.94 Mo.upf
Br 79.90 Br.upf
ATOMIC_POSITIONS crystal
Si 0.132 0.132 0.000
Si 0.868 0.868 0.000
Mo 0.250 0.750 0.500
Mo 0.750 0.250 0.500
Br 0.500 0.500 0.000
CELL_PARAMETERS angstrom
-2.262 2.262 4.437
2.262 -2.262 4.437
2.262 2.262 -4.437

---

! Si2MoBr PBE optimized geometry; values from VASP
! VASP energy in eV per atom: -5.05
! Fermi-level density of states in states/eV/f.u.: 3.8
! Symmetry: Pmmm
&SYSTEM
  ibrav = 0, nat = 4, ntyp = 3
/
ATOMIC_SPECIES
Si 28.09 Si.upf
Mo 95.94 Mo.upf
Br 79.90 Br.upf
ATOMIC_POSITIONS crystal
Si 0.000 0.000 0.000
Si 0.500 0.500 0.000
Mo 0.000 0.500 0.500
Br 0.500 0.000 0.500
CELL_PARAMETERS angstrom
2.920 0.000 0.000
0.000 4.711 0.000
0.000 0.000 4.804

---

! Si2MoBr PBE optimized geometry; values from VASP
! VASP energy in eV per atom: -5.70
! Fermi-level density of states in states/eV/f.u.: 3.1
! Symmetry: Pmmm
&SYSTEM
  ibrav = 0, nat = 4, ntyp = 3
/
ATOMIC_SPECIES
Si 28.09 Si.upf
Mo 95.94 Mo.upf
Br 79.90 Br.upf
ATOMIC_POSITIONS crystal
Si 0.000 0.000 0.184
Si 0.000 0.000 0.816
Mo 0.500 0.500 0.000
Br 0.500 0.000 0.500
CELL_PARAMETERS angstrom
3.117 0.000 0.000
0.000 3.245 0.000
0.000 0.000 7.137

---

! Si2MoBr PBE optimized geometry; values from VASP
! VASP energy in eV per atom: -5.50
! Fermi-level density of states in states/eV/f.u.: 3.3
! Symmetry: R3m
&SYSTEM
  ibrav = 0, nat = 4, ntyp = 3
/
ATOMIC_SPECIES
Si 28.09 Si.upf
Mo 95.94 Mo.upf
Br 79.90 Br.upf
ATOMIC_POSITIONS crystal
Si 0.000 0.000 0.000
Si 0.264 0.264 0.264
Mo 0.524 0.524 0.524
Br 0.788 0.788 0.788
CELL_PARAMETERS angstrom
1.531 0.884 9.052
-1.531 0.884 9.052
0.000 -1.768 9.052

---

! Si2MoBr PBE optimized geometry; values from VASP
! VASP energy in eV per atom: -5.45
! Fermi-level density of states in states/eV/f.u.: 1.5
! Symmetry: Pm
&SYSTEM
  ibrav = 0, nat = 4, ntyp = 3
/
ATOMIC_SPECIES
Si 28.09 Si.upf
Mo 95.94 Mo.upf
Br 79.90 Br.upf
ATOMIC_POSITIONS crystal
Si 0.000 0.000 0.000
Si 0.427 0.500 0.915
Mo 0.379 0.000 0.670
Br 0.638 0.500 0.399
CELL_PARAMETERS angstrom
3.674 0.000 0.000
0.000 4.165 0.000
-1.383 0.000 4.989

---

! Si2MoBr PBE optimized geometry; values from VASP
! VASP energy in eV per atom: -5.13
! Fermi-level density of states in states/eV/f.u.: 1.8
! Symmetry: P4/mmm
&SYSTEM
  ibrav = 0, nat = 4, ntyp = 3
/
ATOMIC_SPECIES
Si 28.09 Si.upf
Mo 95.94 Mo.upf
Br 79.90 Br.upf
ATOMIC_POSITIONS crystal
Si 0.000 0.500 0.000
Si 0.500 0.000 0.000
Mo 0.000 0.000 0.500
Br 0.500 0.500 0.500
CELL_PARAMETERS angstrom
4.930 0.000 0.000
0.000 4.930 0.000
0.000 0.000 2.806

---

! Si2MoBr PBE optimized geometry; values from VASP
! VASP energy in eV per atom: -5.26
! Fermi-level density of states in states/eV/f.u.: 2.4
! Symmetry: Imm2
&SYSTEM
  ibrav = 0, nat = 4, ntyp = 3
/
ATOMIC_SPECIES
Si 28.09 Si.upf
Mo 95.94 Mo.upf
Br 79.90 Br.upf
ATOMIC_POSITIONS crystal
Si 0.000 0.000 0.000
Si 0.752 0.252 0.500
Mo 0.547 0.547 0.000
Br 0.332 0.832 0.500
CELL_PARAMETERS angstrom
-1.402 2.486 5.221
1.402 -2.486 5.221
1.402 2.486 -5.221

---

! Si2MoBr PBE optimized geometry; values from VASP
! VASP energy in eV per atom: -5.16
! Fermi-level density of states in states/eV/f.u.: 3.0
! Symmetry: C2/m
&SYSTEM
  ibrav = 0, nat = 4, ntyp = 3
/
ATOMIC_SPECIES
Si 28.09 Si.upf
Mo 95.94 Mo.upf
Br 79.90 Br.upf
ATOMIC_POSITIONS crystal
Si 0.000 0.500 0.000
Si 0.500 0.000 0.000
Mo 0.000 0.000 0.500
Br 0.500 0.500 0.500
CELL_PARAMETERS angstrom
3.122 -3.784 0.000
3.122 3.784 0.000
-0.636 0.000 2.857

---

! Si2MoBr PBE optimized geometry; values from VASP
! VASP energy in eV per atom: -5.41
! Fermi-level density of states in states/eV/f.u.: 2.2
! Symmetry: Cmmm
&SYSTEM
  ibrav = 0, nat = 4, ntyp = 3
/
ATOMIC_SPECIES
Si 28.09 Si.upf
Mo 95.94 Mo.upf
Br 79.90 Br.upf
ATOMIC_POSITIONS crystal
Si 0.000 0.000 0.219
Si 0.000 0.000 0.781
Mo 0.500 0.500 0.000
Br 0.500 0.500 0.500
CELL_PARAMETERS angstrom
1.760 -2.532 0.000
1.760 2.532 0.000
0.000 0.000 8.006

---

! Si2MoBr PBE optimized geometry; values from VASP
! VASP energy in eV per atom: -5.16
! Fermi-level density of states in states/eV/f.u.: 3.4
! Symmetry: Cmmm
&SYSTEM
  ibrav = 0, nat = 4, ntyp = 3
/
ATOMIC_SPECIES
Si 28.09 Si.upf
Mo 95.94 Mo.upf
Br 79.90 Br.upf
ATOMIC_POSITIONS crystal
Si 0.000 0.500 0.000
Si 0.500 0.000 0.000
Mo 0.000 0.000 0.500
Br 0.500 0.500 0.500
CELL_PARAMETERS angstrom
2.808 -3.857 0.000
2.808 3.857 0.000
0.000 0.000 2.996

---

! Si2MoBr PBE optimized geometry; values from VASP
! VASP energy in eV per atom: -5.06
! Fermi-level density of states in states/eV/f.u.: 3.9
! Symmetry: I4/mmm
&SYSTEM
  ibrav = 0, nat = 4, ntyp = 3
/
ATOMIC_SPECIES
Si 28.09 Si.upf
Mo 95.94 Mo.upf
Br 79.90 Br.upf
ATOMIC_POSITIONS crystal
Si 0.250 0.750 0.500
Si 0.750 0.250 0.500
Mo 0.000 0.000 0.000
Br 0.500 0.500 0.000
CELL_PARAMETERS angstrom
-2.001 2.001 4.105
2.001 -2.001 4.105
2.001 2.001 -4.105

---

! Si2MoBr PBE optimized geometry; values from VASP
! VASP energy in eV per atom: -5.65
! Fermi-level density of states in states/eV/f.u.: 2.6
! Symmetry: P4mm
&SYSTEM
  ibrav = 0, nat = 4, ntyp = 3
/
ATOMIC_SPECIES
Si 28.09 Si.upf
Mo 95.94 Mo.upf
Br 79.90 Br.upf
ATOMIC_POSITIONS crystal
Si 0.000 0.000 0.000
Si 0.500 0.500 0.161
Mo 0.500 0.500 0.827
Br 0.000 0.000 0.596
CELL_PARAMETERS angstrom
3.159 0.000 0.000
0.000 3.159 0.000
0.000 0.000 7.745

---

! Si2MoBr PBE optimized geometry; values from VASP
! VASP energy in eV per atom: -4.78
! Fermi-level density of states in states/eV/f.u.: 4.7
! Symmetry: Fm-3m
&SYSTEM
  ibrav = 0, nat = 4, ntyp = 3
/
ATOMIC_SPECIES
Si 28.09 Si.upf
Mo 95.94 Mo.upf
Br 79.90 Br.upf
ATOMIC_POSITIONS crystal
Si 0.250 0.250 0.250
Si 0.750 0.750 0.750
Mo 0.000 0.000 0.000
Br 0.500 0.500 0.500
CELL_PARAMETERS angstrom
0.000 3.218 3.218
3.218 0.000 3.218
3.218 3.218 0.000

---

! Si2Mo2Br PBE optimized geometry; values from VASP
! VASP energy in eV per atom: -6.42
! Fermi-level density of states in states/eV/f.u.: 3.9
! Symmetry: P4/mbm
&SYSTEM
  ibrav = 0, nat = 10, ntyp = 3
/
ATOMIC_SPECIES
Si 28.09 Si.upf
Mo 95.94 Mo.upf
Br 79.90 Br.upf
ATOMIC_POSITIONS crystal
Si 0.128 0.372 0.000
Si 0.372 0.872 0.000
Si 0.628 0.128 0.000
Si 0.872 0.628 0.000
Mo 0.159 0.659 0.500
Mo 0.341 0.159 0.500
Mo 0.659 0.841 0.500
Mo 0.841 0.341 0.500
Br 0.000 0.000 0.000
Br 0.500 0.500 0.000
CELL_PARAMETERS angstrom
7.271 0.000 0.000
0.000 7.271 0.000
0.000 0.000 3.076

---

! Si3MoBr PBE optimized geometry; values from VASP
! VASP energy in eV per atom: -3.91
! Fermi-level density of states in states/eV/f.u.: 5.3
! Symmetry: Pm-3m
&SYSTEM
  ibrav = 0, nat = 5, ntyp = 3
/
ATOMIC_SPECIES
Si 28.09 Si.upf
Mo 95.94 Mo.upf
Br 79.90 Br.upf
ATOMIC_POSITIONS crystal
Si 0.000 0.000 0.500
Si 0.000 0.500 0.000
Si 0.500 0.000 0.000
Mo 0.500 0.500 0.500
Br 0.000 0.000 0.000
CELL_PARAMETERS angstrom
4.781 0.000 0.000
0.000 4.781 0.000
0.000 0.000 4.781

---

! Si2MoBr PBE optimized geometry; values from VASP
! VASP energy in eV per atom: -5.18
! Fermi-level density of states in states/eV/f.u.: 2.9
! Symmetry: Immm
&SYSTEM
  ibrav = 0, nat = 4, ntyp = 3
/
ATOMIC_SPECIES
Si 28.09 Si.upf
Mo 95.94 Mo.upf
Br 79.90 Br.upf
ATOMIC_POSITIONS crystal
Si 0.217 0.217 0.000
Si 0.783 0.783 0.000
Mo 0.000 0.500 0.500
Br 0.500 0.000 0.500
CELL_PARAMETERS angstrom
-1.551 2.340 4.759
1.551 -2.340 4.759
1.551 2.340 -4.759

---

! Si3MoBr PBE optimized geometry; values from VASP
! VASP energy in eV per atom: -5.33
! Fermi-level density of states in states/eV/f.u.: 5.1
! Symmetry: Pm-3m
&SYSTEM
  ibrav = 0, nat = 5, ntyp = 3
/
ATOMIC_SPECIES
Si 28.09 Si.upf
Mo 95.94 Mo.upf
Br 79.90 Br.upf
ATOMIC_POSITIONS crystal
Si 0.000 0.000 0.500
Si 0.000 0.500 0.000
Si 0.500 0.000 0.000
Mo 0.000 0.000 0.000
Br 0.500 0.500 0.500
CELL_PARAMETERS angstrom
4.809 0.000 0.000
0.000 4.809 0.000
0.000 0.000 4.809

---

! SiMo4Br PBE optimized geometry; values from VASP
! VASP energy in eV per atom: -7.51
! Fermi-level density of states in states/eV/f.u.: 6.3
! Symmetry: F-43m
&SYSTEM
  ibrav = 0, nat = 6, ntyp = 3
/
ATOMIC_SPECIES
Si 28.09 Si.upf
Mo 95.94 Mo.upf
Br 79.90 Br.upf
ATOMIC_POSITIONS crystal
Si 0.000 0.000 0.000
Mo 0.377 0.377 0.377
Mo 0.377 0.377 0.869
Mo 0.377 0.869 0.377
Mo 0.869 0.377 0.377
Br 0.750 0.750 0.750
CELL_PARAMETERS angstrom
0.000 3.731 3.731
3.731 0.000 3.731
3.731 3.731 0.000

---

! Si2MoBr PBE optimized geometry; values from VASP
! VASP energy in eV per atom: -5.64
! Fermi-level density of states in states/eV/f.u.: 2.1
! Symmetry: C2/m
&SYSTEM
  ibrav = 0, nat = 4, ntyp = 3
/
ATOMIC_SPECIES
Si 28.09 Si.upf
Mo 95.94 Mo.upf
Br 79.90 Br.upf
ATOMIC_POSITIONS crystal
Si 0.232 0.232 0.136
Si 0.768 0.768 0.864
Mo 0.500 0.500 0.000
Br 0.500 0.500 0.500
CELL_PARAMETERS angstrom
4.235 -1.647 0.000
4.235 1.647 0.000
-1.832 0.000 5.786

---

! Si2MoBr PBE optimized geometry; values from VASP
! VASP energy in eV per atom: -5.56
! Fermi-level density of states in states/eV/f.u.: 4.0
! Symmetry: Cm
&SYSTEM
  ibrav = 0, nat = 4, ntyp = 3
/
ATOMIC_SPECIES
Si 28.09 Si.upf
Mo 95.94 Mo.upf
Br 79.90 Br.upf
ATOMIC_POSITIONS crystal
Si 0.000 0.000 0.000
Si 0.240 0.240 0.861
Mo 0.778 0.778 0.156
Br 0.458 0.458 0.453
CELL_PARAMETERS angstrom
3.877 -1.641 0.000
3.877 1.641 0.000
-3.284 0.000 6.663

---

! Si2MoBr PBE optimized geometry; values from VASP
! VASP energy in eV per atom: -5.58
! Fermi-level density of states in states/eV/f.u.: 2.6
! Symmetry: P4/mmm
&SYSTEM
  ibrav = 0, nat = 4, ntyp = 3
/
ATOMIC_SPECIES
Si 28.09 Si.upf
Mo 95.94 Mo.upf
Br 79.90 Br.upf
ATOMIC_POSITIONS crystal
Si 0.000 0.000 0.189
Si 0.000 0.000 0.811
Mo 0.500 0.500 0.000
Br 0.500 0.500 0.500
CELL_PARAMETERS angstrom
3.265 0.000 0.000
0.000 3.265 0.000
0.000 0.000 6.568

---

! Si2MoBr PBE optimized geometry; values from VASP
! VASP energy in eV per atom: -5.07
! Fermi-level density of states in states/eV/f.u.: 2.5
! Symmetry: F-43m
&SYSTEM
  ibrav = 0, nat = 4, ntyp = 3
/
ATOMIC_SPECIES
Si 28.09 Si.upf
Mo 95.94 Mo.upf
Br 79.90 Br.upf
ATOMIC_POSITIONS crystal
Si 0.000 0.000 0.000
Si 0.250 0.250 0.250
Mo 0.750 0.750 0.750
Br 0.500 0.500 0.500
CELL_PARAMETERS angstrom
0.000 3.177 3.177
3.177 0.000 3.177
3.177 3.177 0.000